Record 1
Tb4Se3O2 | PBE | optimized geometry

Cell lengths 12.804, 3.591, 8.309 Å; angles 90.00, 101.07, 90.00 degrees
Space group C2/m (No. 12)
Asymmetric unit:
1 Tb 0.081 0.000 0.189 [4 per cell]
2 Tb 0.172 0.500 0.606 [4 per cell]
3 Se 0.000 0.000 0.500 [2 per cell]
4 Se 0.106 0.500 0.916 [4 per cell]
5 O 0.202 0.500 0.333 [4 per cell]

V in Å³ per cell: 375
DOS(E_F) in states/eV/cell: 5.58
Formation energy without anion corrections in meV per atom: -2237

=====

Record 2
Tb2Se2O | PBE | optimized geometry

Cell lengths 12.681, 5.757, 8.042 Å; angles 90.00, 120.93, 90.00 degrees
Space group C2/m (No. 12)
Asymmetric unit:
1 Tb 0.032 0.000 0.321 [4 per cell]
2 Tb 0.192 0.500 0.116 [4 per cell]
3 Se 0.044 0.500 0.283 [4 per cell]
4 Se 0.177 0.000 0.098 [4 per cell]
5 O 0.124 0.000 0.636 [4 per cell]

V in Å³ per cell: 504
DOS(E_F) in states/eV/cell: 0.00
Formation energy without anion corrections in meV per atom: -2445